The following is a PBE calculation of crystalline Pm3Si2I2 at its relaxed geometry, from Alexandria.

Lattice parameters (Å, degrees): 4.1934 7.3651 8.0576 81.12 89.92 73.66
Fractional coordinates of all 7 atoms:
Pm 0.0000 0.0000 0.0000
Pm 0.2425 0.5126 0.7786
Pm 0.7575 0.4874 0.2214
Si 0.3749 0.2523 0.0986
Si 0.6251 0.7477 0.9014
I 0.1232 0.7568 0.3855
I 0.8768 0.2432 0.6145

Values from the calculation:
- energy relative to the elements, uncorrected (meV per atom) = -753